# NdPaHN2

A relaxed structure of NdPaHN2 (GGA-PBE, Alexandria).

Output
- E_tot: -8.1775 eV/atom

```
NdPaHN2
1.0
3.5073 0.0000 0.0000
0.0000 3.5073 0.0000
0.0000 0.0000 11.4281
Nd Pa H N
2 2 2 4
Direct
0.2500 0.2500 0.1395
0.7500 0.7500 0.8605
0.2500 0.2500 0.6138
0.7500 0.7500 0.3862
0.2500 0.7500 0.0000
0.7500 0.2500 0.0000
0.2500 0.2500 0.3856
0.2500 0.2500 0.7965
0.7500 0.7500 0.2035
0.7500 0.7500 0.6144
```